No. 1
A plane-wave DFT calculation with PBE was carried out for a geometry-optimized YScTe2H structure.

Output
energy	-26.641	eV/cell
D(E_F)	0.5924	states/eV/atom
ρ	5.352	g/cm³

a = 5.6098 Å, b = 5.6098 Å, c = 3.8455 Å
α = 90.00°, β = 90.00°, γ = 90.00°
With the nearest neighbours (Å) after each atom.
Space group P4/mmm (No. 123)
Unique sites:
Y  0.0000  0.0000  0.0000  8 Te 3.40
Sc  0.5000  0.5000  0.5000  2 H 1.92
Te  0.0000  0.5000  0.5000  2 Sc 2.80
H  0.5000  0.5000  0.0000  2 Sc 1.92

=====

No. 2
A plane-wave DFT calculation with PBE was carried out for a geometry-optimized ZnCuWC2 structure.

Output
D(E_F)	1.1436	states/eV/atom
formation energy	2.54	eV per atom
ρ	8.781	g/cm³

a = 3.8446 Å, b = 3.8446 Å, c = 4.3092 Å
α = 90.00°, β = 90.00°, γ = 90.00°
With the nearest neighbours (Å) after each atom.
Space group P4/mmm (No. 123)
Unique sites:
Zn  0.0000  0.0000  0.0000  4 C 1.92
Cu  0.0000  0.0000  0.5000  2 Zn 2.15
W  0.5000  0.5000  0.5000  4 Cu 2.72, 8 C 2.89
C  0.0000  0.5000  0.0000  2 Zn 1.92

=====

No. 3
A plane-wave DFT calculation with PBE was carried out for a geometry-optimized AcPm2Th structure.

Output
E above lowest polymorph	99	meV/atom
D(E_F)	1.4271	states/eV/atom
formation energy	0.14	eV per atom
ρ	8.415	g/cm³

a = 3.6450 Å, b = 3.6450 Å, c = 38.5395 Å
α = 90.00°, β = 90.00°, γ = 120.00°
With the nearest neighbours (Å) after each atom.
Space group R-3m (No. 166, hexagonal axes)
Unique sites:
Ac  0.0000  0.0000  0.0000  2 Pm 3.61, 6 Ac 3.65
Pm  0.0000  0.0000  0.0936  3 Th 3.52, 1 Ac 3.61, 6 Pm 3.65
Th  0.0000  0.0000  0.5000  6 Pm 3.52, 6 Th 3.65

=====

No. 4
A plane-wave DFT calculation with PBE was carried out for a geometry-optimized Pm2Y2Ho7 structure.

Output
D(E_F)	1.6520	states/eV/atom
formation energy	0.15	eV per atom
ρ	7.503	g/cm³

a = 11.2666 Å, b = 11.4759 Å, c = 6.0768 Å
α = 90.00°, β = 113.93°, γ = 90.00°
With the nearest neighbours (Å) after each atom.
Space group C2/m (No. 12)
Unique sites:
Pm  0.0916  0.0000  0.3069  7 Ho 3.44-3.76, 2 Pm 3.45-3.70, 2 Y 3.72
Y  0.0000  0.2874  0.0000  6 Ho 3.30-3.46
Ho  0.0000  0.5000  0.5000  6 Ho 3.27-3.43
Ho  0.1744  0.2633  0.6775  6 Ho 3.26-3.64, 2 Y 3.30-3.44
Ho  0.2320  0.5000  0.0787  5 Ho 3.34-3.53, 3 Pm 3.44-3.71, 2 Y 3.46